Material: Ba3Ta2CoO9
Method: DFT, PBE+U
State: optimized geometry

a = 5.7774 Å, b = 5.7774 Å, c = 7.1179 Å
α = 90.00°, β = 90.00°, γ = 120.00°
With the nearest neighbours (Å) after each atom.
Fractional coordinates of all 15 atoms:
1 O 0.8286 0.6573 0.6748  1 Ta 1.94, 1 Co 2.12
2 O 0.1714 0.3427 0.3252  1 Ta 1.94, 1 Co 2.12
3 Co 0.0000 0.0000 0.5000  6 O 2.12
4 Ta 0.3333 0.6667 0.1760  6 O 1.94-2.09
5 O 0.6573 0.8286 0.3252  1 Ta 1.94, 1 Co 2.12
6 O 0.8286 0.1714 0.6748  1 Ta 1.94, 1 Co 2.12
7 O 0.5000 0.5000 0.0000  2 Ta 2.09
8 O 0.3427 0.1714 0.6748  1 Ta 1.94, 1 Co 2.12
9 O 0.1714 0.8286 0.3252  1 Ta 1.94, 1 Co 2.12
10 O 0.5000 0.0000 0.0000  2 Ta 2.09
11 Ba 0.0000 0.0000 0.0000  12 O 2.88-2.89
12 Ba 0.3333 0.6667 0.6620  12 O 2.89-2.93
13 Ta 0.6667 0.3333 0.8240  6 O 1.94-2.09
14 O 0.0000 0.5000 0.0000  2 Ta 2.09
15 Ba 0.6667 0.3333 0.3380  12 O 2.89-2.93

Results
total DFT energy (no corrections)	-8.0368	eV per atom